# 1
DySc2Os | PBE | relaxed

Properties
* raw total energy: -29.48 eV per cell
* energy relative to the elements: -245 meV/atom
* ρ: 8.2 Mg/m³
* ΔE to the lowest computed polymorph: 0.14 eV/f.u.

Cell: 3.2532 3.2532 8.5118 Å, 90.00 90.00 90.00°
With the nearest neighbours (Å) after each atom.
Atoms (fractional coordinates):
Dy (0.0000, 0.0000, 0.0000)  4 Dy 3.25, 8 Sc 3.56
Sc (0.5000, 0.5000, 0.3195)  4 Os 2.77, 1 Sc 3.07
Sc (0.5000, 0.5000, 0.6805)  4 Os 2.77, 1 Sc 3.07
Os (0.0000, 0.0000, 0.5000)  8 Sc 2.77

***

# 2
DyScOs2 | PBE | relaxed

Properties
* raw total energy: -34.00 eV per cell
* energy relative to the elements: -151 meV/atom
* ρ: 13.4 Mg/m³

Cell: 3.3138 3.3138 6.6374 Å, 90.00 90.00 90.00°
With the nearest neighbours (Å) after each atom.
Atoms (fractional coordinates):
Dy (0.0000, 0.0000, 0.0000)  8 Os 2.94
Sc (0.0000, 0.0000, 0.5000)  8 Os 2.81
Os (0.5000, 0.5000, 0.2672)  4 Sc 2.81, 4 Dy 2.94, 1 Os 3.09
Os (0.5000, 0.5000, 0.7328)  4 Sc 2.81, 4 Dy 2.94, 1 Os 3.09

***

# 3
Dy2Sc3Os2 | PBE | relaxed

Properties
* raw total energy: -105.57 eV per cell
* energy relative to the elements: -304 meV/atom
* ρ: 8.8 Mg/m³

Cell: 10.8264 4.0419 7.8460 Å, 90.00 112.59 90.00°
With the nearest neighbours (Å) after each atom.
Atoms (fractional coordinates):
Dy (0.1547, 0.0000, 0.3016)  3 Os 2.91-3.23
Dy (0.3453, 0.5000, 0.6984)  3 Os 2.91-3.23
Dy (0.6547, 0.5000, 0.3016)  3 Os 2.91-3.23
Dy (0.8453, 0.0000, 0.6984)  3 Os 2.91-3.23
Sc (0.0000, 0.5000, 0.5000)  4 Os 2.75
Sc (0.1322, 0.5000, 0.9314)  3 Os 2.72-2.85
Sc (0.3678, 0.0000, 0.0686)  3 Os 2.72-2.85
Sc (0.5000, 0.0000, 0.5000)  4 Os 2.75
Sc (0.6322, 0.0000, 0.9314)  3 Os 2.72-2.85
Sc (0.8678, 0.5000, 0.0686)  3 Os 2.72-2.85
Os (0.1563, 0.0000, 0.7137)  5 Sc 2.72-2.85, 2 Dy 2.91
Os (0.3437, 0.5000, 0.2863)  5 Sc 2.72-2.85, 2 Dy 2.91
Os (0.6563, 0.5000, 0.7137)  5 Sc 2.72-2.85, 2 Dy 2.91
Os (0.8437, 0.0000, 0.2863)  5 Sc 2.72-2.85, 2 Dy 2.91

***

# 4
DySc2Os | PBE | relaxed

Properties
* raw total energy: -118.47 eV per cell
* energy relative to the elements: -281 meV/atom
* ρ: 8.0 Mg/m³
* ΔE to the lowest computed polymorph: 0.00 eV/f.u.

Cell: 3.9112 11.1675 8.4399 Å, 90.00 90.00 90.00°
With the nearest neighbours (Å) after each atom.
Atoms (fractional coordinates):
Dy (0.0000, 0.0653, 0.2500)  2 Os 2.86
Dy (0.0000, 0.9347, 0.7500)  2 Os 2.86
Dy (0.5000, 0.4347, 0.7500)  2 Os 2.86
Dy (0.5000, 0.5653, 0.2500)  2 Os 2.86
Sc (0.0000, 0.3510, 0.0639)  3 Os 2.74-2.89
Sc (0.0000, 0.3510, 0.4361)  3 Os 2.74-2.89
Sc (0.0000, 0.6490, 0.5639)  3 Os 2.74-2.89
Sc (0.0000, 0.6490, 0.9361)  3 Os 2.74-2.89
Sc (0.5000, 0.1490, 0.5639)  3 Os 2.74-2.89
Sc (0.5000, 0.1490, 0.9361)  3 Os 2.74-2.89
Sc (0.5000, 0.8510, 0.0639)  3 Os 2.74-2.89
Sc (0.5000, 0.8510, 0.4361)  3 Os 2.74-2.89
Os (0.0000, 0.2473, 0.7500)  6 Sc 2.74-2.89, 2 Dy 2.86
Os (0.0000, 0.7527, 0.2500)  6 Sc 2.74-2.89, 2 Dy 2.86
Os (0.5000, 0.2527, 0.2500)  6 Sc 2.74-2.89, 2 Dy 2.86
Os (0.5000, 0.7473, 0.7500)  6 Sc 2.74-2.89, 2 Dy 2.86

***

Question: The highest raw total energy belongs to which entry?
Answer: number 1

***

Question: Among the records above, which one has the highest ρ?
Answer: DyScOs2

***

Question: What is the formula in the second record?
Answer: DyScOs2

***

Repeat the first record exactly.
DySc2Os | PBE | relaxed

Properties
* raw total energy: -29.48 eV per cell
* energy relative to the elements: -245 meV/atom
* ρ: 8.2 Mg/m³
* ΔE to the lowest computed polymorph: 0.14 eV/f.u.

Cell: 3.2532 3.2532 8.5118 Å, 90.00 90.00 90.00°
With the nearest neighbours (Å) after each atom.
Atoms (fractional coordinates):
Dy (0.0000, 0.0000, 0.0000)  4 Dy 3.25, 8 Sc 3.56
Sc (0.5000, 0.5000, 0.3195)  4 Os 2.77, 1 Sc 3.07
Sc (0.5000, 0.5000, 0.6805)  4 Os 2.77, 1 Sc 3.07
Os (0.0000, 0.0000, 0.5000)  8 Sc 2.77